No. 1
! PBE-GGA La3Pr2Nd2, relaxed; values from VASP
! Fermi-level density of states, states/eV/atom: 1.58
! SG: C2/m (12)
! Calculated density, g/cm3: 6.44
! Raw total energy, eV per atom: -4.75
! Energy above the most stable polymorph in this dataset, meV per atom: 76.2
&SYSTEM
  ibrav = 0, nat = 7, ntyp = 3
/
ATOMIC_SPECIES
Nd 144.24 Nd.upf
La 138.91 La.upf
Pr 140.91 Pr.upf
ATOMIC_POSITIONS angstrom
Nd 1.8058 3.3299 5.3370
La 0.0000 5.5262 2.9562
Nd 0.0000 1.8858 2.1913
Pr 1.8058 7.5753 0.4064
La 1.8058 -0.3105 4.5722
La 0.0000 4.4317 -0.3571
Pr 0.0000 -2.3596 7.1220
CELL_PARAMETERS angstrom
3.6117 0.0000 0.0000
0.0000 8.8634 -0.7143
-1.8058 -3.6476 8.2427

=====

No. 2
! PBE-GGA La4Pr8Nd, relaxed; values from VASP
! Fermi-level density of states, states/eV/atom: 1.92
! SG: R-3m (166)
! Calculated density, g/cm3: 6.13
! Raw total energy, eV per atom: -4.48
&SYSTEM
  ibrav = 0, nat = 13, ntyp = 3
/
ATOMIC_SPECIES
La 138.91 La.upf
Pr 140.91 Pr.upf
Nd 144.24 Nd.upf
ATOMIC_POSITIONS angstrom
La -6.3806 2.8832 7.1186
Pr -0.6252 -0.4313 5.2306
La 5.2780 -0.0004 -2.8476
Nd -4.8938 3.9093 3.5592
La 1.8710 4.9350 -2.8479
Pr -0.5226 6.9264 -0.9697
Pr 1.2911 0.8913 2.3928
Pr 1.3936 8.2491 -3.8074
Pr -0.4995 3.2560 -0.9261
Pr 1.2679 4.5618 2.3493
Pr -3.9465 8.2494 -0.9265
Pr 4.7149 -0.4317 2.3496
La 0.0000 0.0000 0.0000
CELL_PARAMETERS angstrom
10.5559 -0.0008 -5.6952
-6.8139 9.8709 -0.0005
-2.9737 -2.0523 7.1189

=====

No. 3
! PBE-GGA La5Pr2Nd4, relaxed; values from VASP
! Fermi-level density of states, states/eV/atom: 1.50
! SG: Immm (71)
! Calculated density, g/cm3: 6.24
! Raw total energy, eV per atom: -4.67
! Energy above the most stable polymorph in this dataset, meV per atom: 89.9
&SYSTEM
  ibrav = 0, nat = 11, ntyp = 3
/
ATOMIC_SPECIES
La 138.91 La.upf
Nd 144.24 Nd.upf
Pr 140.91 Pr.upf
ATOMIC_POSITIONS angstrom
La 1.8061 -2.8830 8.4206
Nd 0.0000 6.6937 0.0000
La 1.8061 2.8830 8.4206
Pr 0.0000 0.0000 6.4179
La 0.0000 1.9107 3.5059
Nd 0.0000 2.8938 0.0000
La 0.0000 7.6767 3.5059
La 1.8061 0.0000 0.0000
Pr 1.8061 4.7937 5.5086
Nd 1.8061 4.7937 2.2720
Nd 0.0000 0.0000 9.6545
CELL_PARAMETERS angstrom
3.6122 0.0000 0.0000
0.0000 9.5875 0.0000
-1.8061 -4.7937 11.9265

=====

No. 4
! PBE-GGA LaPr10Nd4, relaxed; values from VASP
! Fermi-level density of states, states/eV/atom: 1.76
! SG: I4/m (87)
! Calculated density, g/cm3: 5.95
! Raw total energy, eV per atom: -4.31
&SYSTEM
  ibrav = 0, nat = 15, ntyp = 3
/
ATOMIC_SPECIES
Pr 140.91 Pr.upf
Nd 144.24 Nd.upf
La 138.91 La.upf
ATOMIC_POSITIONS angstrom
Pr 1.5992 3.8773 9.1720
Nd 6.2063 6.9568 11.7839
Pr 6.0864 4.5992 7.7947
Nd 5.4608 8.1857 4.9254
Pr 6.3646 1.4973 7.1281
Pr 2.8947 4.5992 6.3535
Pr 7.3819 5.3212 4.9761
Nd 3.5204 1.0128 9.2227
Pr 3.2108 1.4973 5.7040
Pr 4.1523 5.3212 3.5178
Nd 2.7749 2.2417 2.3642
La 0.0000 0.0000 0.0000
Pr 2.6166 7.7012 7.0200
Pr 5.7703 7.7012 8.4441
Pr 4.8288 3.8773 10.6303
CELL_PARAMETERS angstrom
6.3833 0.0000 2.8823
3.1917 9.1985 1.4412
-0.5938 0.0000 9.8246

=====

No. 5
! PBE-GGA La2Pr2Nd5, relaxed; values from VASP
! Fermi-level density of states, states/eV/atom: 1.66
! SG: Ima2 (46)
! Calculated density, g/cm3: 6.52
! Raw total energy, eV per atom: -4.64
! Energy above the most stable polymorph in this dataset, meV per atom: 41.5
&SYSTEM
  ibrav = 0, nat = 18, ntyp = 3
/
ATOMIC_SPECIES
Nd 144.24 Nd.upf
La 138.91 La.upf
Pr 140.91 Pr.upf
ATOMIC_POSITIONS angstrom
Nd 8.9885 -0.5992 3.8270
Nd -3.0982 -2.0384 6.8315
La 0.0543 3.8996 5.7336
La 6.0649 0.4194 5.7336
La 6.0649 0.4194 1.9204
Pr 6.1192 3.6626 0.0000
Nd -3.0211 1.4418 6.8315
Nd 2.8317 -0.8023 5.4642
Nd 3.2876 2.6778 5.4642
Nd 3.2876 2.6778 2.1897
Pr 0.0000 0.1824 0.0000
Nd 2.8316 -0.8023 2.1897
Pr 6.0751 4.1178 3.8270
Pr 0.0441 0.6376 3.8270
La 0.0543 3.8996 1.9204
Nd 9.1403 4.9219 0.8225
Nd 9.2174 1.4418 0.8225
Nd -2.8692 2.8810 3.8270
CELL_PARAMETERS angstrom
12.2385 0.0000 0.0000
0.0000 6.9603 0.0000
-6.1192 -3.4802 7.6540

=====

No. 6
! PBE-GGA La3Pr3Nd5, relaxed; values from VASP
! Fermi-level density of states, states/eV/atom: 1.67
! SG: P-62m (189)
! Calculated density, g/cm3: 5.39
! Raw total energy, eV per atom: -4.17
! Energy above the most stable polymorph in this dataset, meV per atom: 0.0
&SYSTEM
  ibrav = 0, nat = 11, ntyp = 3
/
ATOMIC_SPECIES
Nd 144.24 Nd.upf
La 138.91 La.upf
Pr 140.91 Pr.upf
ATOMIC_POSITIONS angstrom
Nd 2.8521 2.8491 4.9348
Nd 2.8521 0.0000 3.5912
Nd 2.8521 3.1101 -1.7956
La 0.0000 5.0713 -2.9279
Nd 2.8521 5.6982 0.0000
Nd 2.8521 5.4372 3.1392
Pr 2.8521 2.3344 1.3478
La 0.0000 3.4760 2.0069
Pr 2.8521 0.0000 7.1739
La 0.0000 0.0000 5.8558
Pr 2.8521 6.2128 -3.5870
CELL_PARAMETERS angstrom
5.7042 0.0000 0.0000
0.0000 8.5472 -4.9348
0.0000 0.0000 9.8695

=====

No. 7
! PBE-GGA La12PrNd7, relaxed; values from VASP
! Fermi-level density of states, states/eV/atom: 1.46
! SG: R-3 (148)
! Calculated density, g/cm3: 6.31
! Raw total energy, eV per atom: -4.63
! Energy above the most stable polymorph in this dataset, meV per atom: 164.9
&SYSTEM
  ibrav = 0, nat = 20, ntyp = 3
/
ATOMIC_SPECIES
Nd 144.24 Nd.upf
La 138.91 La.upf
Pr 140.91 Pr.upf
ATOMIC_POSITIONS angstrom
Nd -8.6438 -6.5384 4.0744
Nd -8.3357 -1.9970 13.6726
La -1.9379 -4.9171 4.6966
La -5.2168 -1.6490 13.0833
La -8.7303 -5.1970 11.9918
Pr 0.0000 0.0000 0.0000
La -4.9379 -1.9661 7.2846
Nd -2.6597 -0.7118 11.1122
La -9.3613 -6.6497 7.7527
La -1.9422 -0.6005 7.4339
La -9.3656 -2.3331 10.4900
La -6.4982 -3.6818 4.7505
La -2.5732 -2.0532 3.1948
La -6.0867 -5.6013 2.1033
Nd -1.0569 -3.3349 -0.7021
Nd -8.8460 -3.0652 7.4257
Nd -2.9678 -5.2532 1.5140
La -4.8053 -3.5684 10.4362
La -6.3657 -5.2841 7.9020
Nd -2.4575 -4.1850 7.7609
CELL_PARAMETERS angstrom
-2.1138 -6.6697 -1.4042
0.6190 -0.0077 11.1932
-9.8087 -0.5728 5.3976

=====

No. 8
! PBE-GGA La4Pr2Nd, relaxed; values from VASP
! Fermi-level density of states, states/eV/atom: 1.67
! SG: C2/m (12)
! Calculated density, g/cm3: 6.31
! Raw total energy, eV per atom: -4.74
! Energy above the most stable polymorph in this dataset, meV per atom: 0.0
&SYSTEM
  ibrav = 0, nat = 7, ntyp = 3
/
ATOMIC_SPECIES
La 138.91 La.upf
Pr 140.91 Pr.upf
Nd 144.24 Nd.upf
ATOMIC_POSITIONS angstrom
La 1.9805 2.2829 3.7917
La 6.7585 7.0745 9.6895
Pr 2.9130 4.6787 6.0348
Nd 3.0919 0.0000 1.4983
Pr 5.8260 4.6787 7.4464
La 3.1210 7.7943 9.3169
La 5.6180 1.5631 4.1643
CELL_PARAMETERS angstrom
6.1838 0.0000 2.9967
2.7384 5.4332 2.2278
-0.1832 3.9242 8.2567

=====

Look up the calculated density of the eighth one.
6.31 g/cm3

=====

Number 2 is which compound?
La4Pr8Nd